Record 1
! Tb6SmEr6, relaxed, DFT GGA-PBE; values from VASP
&SYSTEM
  ibrav = 0, nat = 13, ntyp = 3
/
ATOMIC_SPECIES
Tb 158.93 Tb.upf
Sm 150.36 Sm.upf
Er 167.26 Er.upf
CELL_PARAMETERS angstrom
6.546 0.000 0.000
0.000 10.985 0.000
-2.827 0.000 5.936
ATOMIC_POSITIONS crystal
Tb 0.000 0.165 0.000
Tb 0.000 0.835 0.000
Tb 0.269 0.000 0.740
Tb 0.333 0.500 0.618
Tb 0.667 0.500 0.382
Tb 0.731 0.000 0.260
Sm 0.000 0.500 0.000
Er 0.000 0.267 0.500
Er 0.000 0.733 0.500
Er 0.500 0.199 0.500
Er 0.500 0.282 0.000
Er 0.500 0.718 0.000
Er 0.500 0.801 0.500
! Size of the total moment = 0.00 μB/f.u.
! Energy of formation from the pure elements = 2.88 eV per formula unit


Record 2
! TbSm8Er5, relaxed, DFT GGA-PBE; values from VASP
&SYSTEM
  ibrav = 0, nat = 14, ntyp = 3
/
ATOMIC_SPECIES
Tb 158.93 Tb.upf
Sm 150.36 Sm.upf
Er 167.26 Er.upf
CELL_PARAMETERS angstrom
-4.800 4.800 5.110
4.800 -4.800 5.110
4.800 4.800 -5.110
ATOMIC_POSITIONS crystal
Tb 0.000 0.000 0.000
Sm 0.092 0.326 0.413
Sm 0.278 0.173 0.757
Sm 0.321 0.908 0.234
Sm 0.416 0.521 0.243
Sm 0.479 0.722 0.895
Sm 0.674 0.086 0.766
Sm 0.827 0.584 0.105
Sm 0.914 0.679 0.587
Er 0.029 0.433 0.815
Er 0.250 0.750 0.500
Er 0.567 0.381 0.595
Er 0.619 0.214 0.185
Er 0.786 0.971 0.405
! Size of the total moment = 0.01 μB/f.u.
! Energy of formation from the pure elements = 3.55 eV per formula unit


Record 3
! Tb5Sm2Er4, relaxed, DFT GGA-PBE; values from VASP
&SYSTEM
  ibrav = 0, nat = 11, ntyp = 3
/
ATOMIC_SPECIES
Tb 158.93 Tb.upf
Sm 150.36 Sm.upf
Er 167.26 Er.upf
CELL_PARAMETERS angstrom
-1.744 4.501 11.604
1.744 -4.501 11.604
1.744 4.501 -11.604
ATOMIC_POSITIONS crystal
Tb 0.000 0.000 0.000
Tb 0.054 0.357 0.697
Tb 0.340 0.643 0.697
Tb 0.660 0.357 0.303
Tb 0.946 0.643 0.303
Sm 0.268 0.768 0.500
Sm 0.732 0.232 0.500
Er 0.312 0.500 0.812
Er 0.403 0.903 0.500
Er 0.597 0.097 0.500
Er 0.688 0.500 0.188
! Size of the total moment = 0.00 μB/f.u.
! Energy of formation from the pure elements = 2.24 eV per formula unit
! Relative energy among the computed polymorphs = 0.186 eV/atom


Record 4
! TbSm6Er, relaxed, DFT GGA-PBE; values from VASP
&SYSTEM
  ibrav = 0, nat = 8, ntyp = 3
/
ATOMIC_SPECIES
Tb 158.93 Tb.upf
Sm 150.36 Sm.upf
Er 167.26 Er.upf
CELL_PARAMETERS angstrom
5.095 0.000 0.000
0.000 5.095 0.000
0.000 0.000 10.190
ATOMIC_POSITIONS crystal
Tb 0.000 0.000 0.000
Sm 0.000 0.500 0.251
Sm 0.000 0.500 0.749
Sm 0.500 0.000 0.251
Sm 0.500 0.000 0.749
Sm 0.500 0.500 0.000
Sm 0.500 0.500 0.500
Er 0.000 0.000 0.500
! Size of the total moment = 0.00 μB/f.u.
! Energy of formation from the pure elements = 0.14 eV per formula unit


Record 5
! Tb3SmEr12, relaxed, DFT GGA-PBE; values from VASP
&SYSTEM
  ibrav = 0, nat = 16, ntyp = 3
/
ATOMIC_SPECIES
Tb 158.93 Tb.upf
Sm 150.36 Sm.upf
Er 167.26 Er.upf
CELL_PARAMETERS angstrom
4.981 0.000 0.000
0.000 4.981 0.000
0.000 0.000 19.930
ATOMIC_POSITIONS crystal
Tb 0.000 0.000 0.000
Tb 0.000 0.000 0.250
Tb 0.000 0.000 0.750
Sm 0.000 0.000 0.500
Er 0.000 0.500 0.125
Er 0.000 0.500 0.374
Er 0.000 0.500 0.626
Er 0.000 0.500 0.875
Er 0.500 0.000 0.125
Er 0.500 0.000 0.374
Er 0.500 0.000 0.626
Er 0.500 0.000 0.875
Er 0.500 0.500 0.000
Er 0.500 0.500 0.249
Er 0.500 0.500 0.500
Er 0.500 0.500 0.751
! Size of the total moment = 0.00 μB/f.u.
! Energy of formation from the pure elements = 0.34 eV per formula unit


Record 6
! Tb2SmEr7, relaxed, DFT GGA-PBE; values from VASP
&SYSTEM
  ibrav = 0, nat = 10, ntyp = 3
/
ATOMIC_SPECIES
Tb 158.93 Tb.upf
Sm 150.36 Sm.upf
Er 167.26 Er.upf
CELL_PARAMETERS angstrom
-1.797 5.747 8.228
1.797 -5.747 8.228
1.797 5.747 -8.228
ATOMIC_POSITIONS crystal
Tb 0.173 0.173 0.000
Tb 0.827 0.827 0.000
Sm 0.000 0.500 0.500
Er 0.098 0.346 0.752
Er 0.333 0.833 0.500
Er 0.407 0.654 0.752
Er 0.500 0.500 0.000
Er 0.593 0.346 0.248
Er 0.667 0.167 0.500
Er 0.902 0.654 0.248
! Size of the total moment = 0.00 μB/f.u.
! Energy of formation from the pure elements = 3.21 eV per formula unit
! Relative energy among the computed polymorphs = 0.000 eV/atom


Record 7
! TbSm7Er4, relaxed, DFT GGA-PBE; values from VASP
&SYSTEM
  ibrav = 0, nat = 12, ntyp = 3
/
ATOMIC_SPECIES
Tb 158.93 Tb.upf
Sm 150.36 Sm.upf
Er 167.26 Er.upf
CELL_PARAMETERS angstrom
6.262 0.000 0.000
-0.005 7.227 0.000
-2.105 -0.002 8.649
ATOMIC_POSITIONS crystal
Tb 0.000 0.000 0.000
Sm 0.000 0.500 0.000
Sm 0.221 0.000 0.666
Sm 0.280 0.251 0.335
Sm 0.499 0.747 0.001
Sm 0.501 0.253 0.999
Sm 0.720 0.749 0.665
Sm 0.779 0.000 0.334
Er 0.220 0.500 0.665
Er 0.278 0.748 0.333
Er 0.722 0.252 0.667
Er 0.780 0.500 0.335
! Size of the total moment = 0.00 μB/f.u.
! Energy of formation from the pure elements = 0.03 eV per formula unit
! Relative energy among the computed polymorphs = 0.000 eV/atom


Record 8
! Tb15Sm4Er, relaxed, DFT GGA-PBE; values from VASP
&SYSTEM
  ibrav = 0, nat = 20, ntyp = 3
/
ATOMIC_SPECIES
Tb 158.93 Tb.upf
Sm 150.36 Sm.upf
Er 167.26 Er.upf
CELL_PARAMETERS angstrom
5.051 0.000 0.000
0.000 5.051 0.000
0.000 0.000 25.245
ATOMIC_POSITIONS crystal
Tb 0.000 0.000 0.000
Tb 0.000 0.000 0.199
Tb 0.000 0.000 0.400
Tb 0.000 0.000 0.600
Tb 0.000 0.000 0.801
Tb 0.000 0.500 0.099
Tb 0.000 0.500 0.299
Tb 0.000 0.500 0.500
Tb 0.000 0.500 0.701
Tb 0.000 0.500 0.901
Tb 0.500 0.000 0.099
Tb 0.500 0.000 0.299
Tb 0.500 0.000 0.500
Tb 0.500 0.000 0.701
Tb 0.500 0.000 0.901
Sm 0.500 0.500 0.199
Sm 0.500 0.500 0.400
Sm 0.500 0.500 0.600
Sm 0.500 0.500 0.801
Er 0.500 0.500 0.000
! Size of the total moment = 0.00 μB/f.u.
! Energy of formation from the pure elements = 0.34 eV per formula unit


Record 9
! TbSmEr2, relaxed, DFT GGA-PBE; values from VASP
&SYSTEM
  ibrav = 0, nat = 4, ntyp = 3
/
ATOMIC_SPECIES
Tb 158.93 Tb.upf
Sm 150.36 Sm.upf
Er 167.26 Er.upf
CELL_PARAMETERS angstrom
5.028 0.000 0.000
0.000 5.028 0.000
0.000 0.000 5.001
ATOMIC_POSITIONS crystal
Tb 0.000 0.000 0.000
Sm 0.500 0.500 0.000
Er 0.000 0.500 0.500
Er 0.500 0.000 0.500
! Size of the total moment = 0.00 μB/f.u.
! Energy of formation from the pure elements = 0.09 eV per formula unit
! Relative energy among the computed polymorphs = 0.006 eV/atom


Record 10
! Tb4SmEr, relaxed, DFT GGA-PBE; values from VASP
&SYSTEM
  ibrav = 0, nat = 6, ntyp = 3
/
ATOMIC_SPECIES
Tb 158.93 Tb.upf
Sm 150.36 Sm.upf
Er 167.26 Er.upf
CELL_PARAMETERS angstrom
3.565 0.000 0.000
1.776 5.898 0.000
1.771 1.609 9.106
ATOMIC_POSITIONS crystal
Tb 0.166 0.499 0.168
Tb 0.167 0.001 0.665
Tb 0.833 0.999 0.335
Tb 0.834 0.501 0.832
Sm 0.500 0.000 0.000
Er 0.500 0.500 0.500
! Size of the total moment = 0.00 μB/f.u.
! Energy of formation from the pure elements = 0.09 eV per formula unit
! Relative energy among the computed polymorphs = 0.000 eV/atom


Record 11
! Tb3Sm7Er2, relaxed, DFT GGA-PBE; values from VASP
&SYSTEM
  ibrav = 0, nat = 12, ntyp = 3
/
ATOMIC_SPECIES
Tb 158.93 Tb.upf
Sm 150.36 Sm.upf
Er 167.26 Er.upf
CELL_PARAMETERS angstrom
3.278 1.893 11.191
-3.278 1.893 11.191
0.000 -3.785 11.191
ATOMIC_POSITIONS crystal
Tb 0.000 0.000 0.000
Tb 0.152 0.152 0.152
Tb 0.848 0.848 0.848
Sm 0.079 0.587 0.587
Sm 0.413 0.413 0.921
Sm 0.413 0.921 0.413
Sm 0.500 0.500 0.500
Sm 0.587 0.079 0.587
Sm 0.587 0.587 0.079
Sm 0.921 0.413 0.413
Er 0.334 0.334 0.334
Er 0.666 0.666 0.666
! Size of the total moment = 0.00 μB/f.u.
! Energy of formation from the pure elements = 3.54 eV per formula unit
! Relative energy among the computed polymorphs = 0.185 eV/atom


Record 12
! Tb6Sm2Er5, relaxed, DFT GGA-PBE; values from VASP
&SYSTEM
  ibrav = 0, nat = 26, ntyp = 3
/
ATOMIC_SPECIES
Tb 158.93 Tb.upf
Sm 150.36 Sm.upf
Er 167.26 Er.upf
CELL_PARAMETERS angstrom
11.649 0.000 0.000
0.000 20.130 0.000
0.000 0.000 3.580
ATOMIC_POSITIONS crystal
Tb 0.059 0.079 0.000
Tb 0.081 0.366 0.000
Tb 0.176 0.629 0.500
Tb 0.324 0.129 0.500
Tb 0.419 0.866 0.000
Tb 0.441 0.579 0.000
Tb 0.559 0.421 0.000
Tb 0.581 0.134 0.000
Tb 0.676 0.871 0.500
Tb 0.824 0.371 0.500
Tb 0.919 0.634 0.000
Tb 0.941 0.921 0.000
Sm 0.166 0.786 0.000
Sm 0.334 0.286 0.000
Sm 0.666 0.714 0.000
Sm 0.834 0.214 0.000
Er 0.000 0.500 0.500
Er 0.094 0.224 0.500
Er 0.199 0.948 0.500
Er 0.301 0.448 0.500
Er 0.406 0.724 0.500
Er 0.500 0.000 0.500
Er 0.594 0.276 0.500
Er 0.699 0.552 0.500
Er 0.801 0.052 0.500
Er 0.906 0.776 0.500
! Size of the total moment = 0.00 μB/f.u.
! Energy of formation from the pure elements = 1.29 eV per formula unit


Record 13
! Tb2SmEr, relaxed, DFT GGA-PBE; values from VASP
&SYSTEM
  ibrav = 0, nat = 8, ntyp = 3
/
ATOMIC_SPECIES
Tb 158.93 Tb.upf
Sm 150.36 Sm.upf
Er 167.26 Er.upf
CELL_PARAMETERS angstrom
6.163 -3.566 0.000
6.163 3.566 0.000
-2.042 0.000 5.820
ATOMIC_POSITIONS crystal
Tb 0.124 0.375 0.249
Tb 0.375 0.124 0.749
Tb 0.625 0.876 0.251
Tb 0.876 0.625 0.751
Sm 0.375 0.625 0.750
Sm 0.625 0.375 0.250
Er 0.124 0.876 0.250
Er 0.876 0.124 0.750
! Size of the total moment = 0.00 μB/f.u.
! Energy of formation from the pure elements = 0.06 eV per formula unit
! Relative energy among the computed polymorphs = 0.000 eV/atom


Record 14
! TbSm4Er6, relaxed, DFT GGA-PBE; values from VASP
&SYSTEM
  ibrav = 0, nat = 11, ntyp = 3
/
ATOMIC_SPECIES
Tb 158.93 Tb.upf
Sm 150.36 Sm.upf
Er 167.26 Er.upf
CELL_PARAMETERS angstrom
-3.827 3.827 6.505
3.827 -3.827 6.505
3.827 3.827 -6.505
ATOMIC_POSITIONS crystal
Tb 0.000 0.000 0.000
Sm 0.251 0.251 0.653
Sm 0.403 0.749 0.000
Sm 0.597 0.597 0.347
Sm 0.749 0.403 0.000
Er 0.000 0.500 0.500
Er 0.061 0.572 0.000
Er 0.428 0.428 0.489
Er 0.500 0.000 0.500
Er 0.572 0.061 0.000
Er 0.939 0.939 0.511
! Size of the total moment = 0.00 μB/f.u.
! Energy of formation from the pure elements = 5.06 eV per formula unit
! Relative energy among the computed polymorphs = 0.155 eV/atom


Record 15
! Tb12SmEr6, relaxed, DFT GGA-PBE; values from VASP
&SYSTEM
  ibrav = 0, nat = 19, ntyp = 3
/
ATOMIC_SPECIES
Tb 158.93 Tb.upf
Sm 150.36 Sm.upf
Er 167.26 Er.upf
CELL_PARAMETERS angstrom
5.939 3.429 5.037
-5.939 3.429 5.037
0.000 -6.857 5.037
ATOMIC_POSITIONS crystal
Tb 0.012 0.358 0.204
Tb 0.204 0.012 0.358
Tb 0.224 0.566 0.459
Tb 0.358 0.204 0.012
Tb 0.434 0.541 0.776
Tb 0.459 0.224 0.566
Tb 0.541 0.776 0.434
Tb 0.566 0.459 0.224
Tb 0.642 0.796 0.988
Tb 0.776 0.434 0.541
Tb 0.796 0.988 0.642
Tb 0.988 0.642 0.796
Sm 0.000 0.000 0.000
Er 0.095 0.258 0.693
Er 0.258 0.693 0.095
Er 0.307 0.905 0.742
Er 0.693 0.095 0.258
Er 0.742 0.307 0.905
Er 0.905 0.742 0.307
! Size of the total moment = 0.00 μB/f.u.
! Energy of formation from the pure elements = 2.90 eV per formula unit
! Relative energy among the computed polymorphs = 0.000 eV/atom


Record 16
! TbSm3Er5, relaxed, DFT GGA-PBE; values from VASP
&SYSTEM
  ibrav = 0, nat = 18, ntyp = 3
/
ATOMIC_SPECIES
Tb 158.93 Tb.upf
Sm 150.36 Sm.upf
Er 167.26 Er.upf
CELL_PARAMETERS angstrom
8.181 -3.330 0.000
8.181 3.330 0.000
-3.672 0.000 10.719
ATOMIC_POSITIONS crystal
Tb 0.182 0.818 0.750
Tb 0.818 0.182 0.250
Sm 0.205 0.444 0.629
Sm 0.444 0.205 0.129
Sm 0.500 0.500 0.000
Sm 0.500 0.500 0.500
Sm 0.556 0.795 0.871
Sm 0.795 0.556 0.371
Er 0.102 0.113 0.045
Er 0.109 0.360 0.855
Er 0.113 0.102 0.545
Er 0.269 0.731 0.250
Er 0.360 0.109 0.355
Er 0.640 0.891 0.645
Er 0.731 0.269 0.750
Er 0.887 0.898 0.455
Er 0.891 0.640 0.145
Er 0.898 0.887 0.955
! Size of the total moment = 0.00 μB/f.u.
! Energy of formation from the pure elements = 1.59 eV per formula unit
! Relative energy among the computed polymorphs = 0.000 eV/atom


Record 17
! Tb4Sm5Er3, relaxed, DFT GGA-PBE; values from VASP
&SYSTEM
  ibrav = 0, nat = 12, ntyp = 3
/
ATOMIC_SPECIES
Tb 158.93 Tb.upf
Sm 150.36 Sm.upf
Er 167.26 Er.upf
CELL_PARAMETERS angstrom
8.113 -2.950 0.000
8.113 2.950 0.000
-4.179 0.000 8.307
ATOMIC_POSITIONS crystal
Tb 0.081 0.081 0.440
Tb 0.216 0.216 0.878
Tb 0.784 0.784 0.122
Tb 0.919 0.919 0.560
Sm 0.000 0.000 0.000
Sm 0.326 0.326 0.614
Sm 0.424 0.424 0.298
Sm 0.576 0.576 0.702
Sm 0.674 0.674 0.386
Er 0.209 0.209 0.229
Er 0.500 0.500 0.000
Er 0.791 0.791 0.771
! Size of the total moment = 0.01 μB/f.u.
! Energy of formation from the pure elements = 2.73 eV per formula unit


Record 18
! Tb2SmEr3, relaxed, DFT GGA-PBE; values from VASP
&SYSTEM
  ibrav = 0, nat = 12, ntyp = 3
/
ATOMIC_SPECIES
Tb 158.93 Tb.upf
Sm 150.36 Sm.upf
Er 167.26 Er.upf
CELL_PARAMETERS angstrom
8.684 -3.544 0.000
8.684 3.544 0.000
-0.012 0.000 6.130
ATOMIC_POSITIONS crystal
Tb 0.042 0.292 0.417
Tb 0.292 0.042 0.917
Tb 0.708 0.958 0.083
Tb 0.958 0.708 0.583
Sm 0.375 0.625 0.750
Sm 0.625 0.375 0.250
Er 0.124 0.876 0.250
Er 0.207 0.458 0.084
Er 0.458 0.207 0.584
Er 0.542 0.793 0.416
Er 0.793 0.542 0.916
Er 0.876 0.124 0.750
! Size of the total moment = 0.00 μB/f.u.
! Energy of formation from the pure elements = 0.12 eV per formula unit
! Relative energy among the computed polymorphs = 0.000 eV/atom


Record 19
! Tb2SmEr, relaxed, DFT GGA-PBE; values from VASP
&SYSTEM
  ibrav = 0, nat = 4, ntyp = 3
/
ATOMIC_SPECIES
Tb 158.93 Tb.upf
Sm 150.36 Sm.upf
Er 167.26 Er.upf
CELL_PARAMETERS angstrom
1.781 1.029 11.620
-1.781 1.029 11.620
0.000 -2.057 11.620
ATOMIC_POSITIONS crystal
Tb 0.249 0.249 0.249
Tb 0.751 0.751 0.751
Sm 0.000 0.000 0.000
Er 0.500 0.500 0.500
! Size of the total moment = 0.00 μB/f.u.
! Energy of formation from the pure elements = 0.07 eV per formula unit
! Relative energy among the computed polymorphs = 0.004 eV/atom


Record 20
! Tb4Sm7Er, relaxed, DFT GGA-PBE; values from VASP
&SYSTEM
  ibrav = 0, nat = 12, ntyp = 3
/
ATOMIC_SPECIES
Tb 158.93 Tb.upf
Sm 150.36 Sm.upf
Er 167.26 Er.upf
CELL_PARAMETERS angstrom
6.280 0.000 0.000
0.002 7.248 0.000
2.091 0.001 8.694
ATOMIC_POSITIONS crystal
Tb 0.221 0.000 0.334
Tb 0.278 0.250 0.668
Tb 0.722 0.750 0.332
Tb 0.779 0.000 0.666
Sm 0.000 0.000 0.000
Sm 0.221 0.500 0.334
Sm 0.279 0.751 0.667
Sm 0.499 0.249 0.000
Sm 0.501 0.751 0.000
Sm 0.721 0.249 0.333
Sm 0.779 0.500 0.666
Er 0.000 0.500 0.000
! Size of the total moment = 0.00 μB/f.u.
! Energy of formation from the pure elements = 0.06 eV per formula unit
! Relative energy among the computed polymorphs = 0.000 eV/atom